1.
BeCoTe2 | PBE | relaxed

abc: 3.634 4.768 4.784
angles: 79.05 90.00 90.00
Fractional coordinates of all 4 atoms:
Be: 0.500 0.250 0.250
Te: 0.000 0.988 0.988
Te: 0.000 0.512 0.512
Co: 0.500 0.750 0.750

Crystal system   monoclinic
Electronic total energy   -3.81 eV per atom
Magnetic moment   0.0 μB per formula unit
Mass density   6.59 g/cm3
Symmetry   P2/m (10)
Formation energy without anion corrections   0.474 eV/atom



2.
SrY2ZnTc | PBE | relaxed

abc: 5.626 5.065 5.626
angles: 90.00 90.00 90.00
Each line ends with the local moment (μB).
Fractional coordinates of all 5 atoms:
Y: 0.000 0.000 0.500  0.18
Y: 0.500 0.000 0.000  -0.02
Sr: 0.000 0.000 0.000  0.15
Zn: 0.000 0.500 0.000  0.01
Tc: 0.500 0.500 0.500  3.05

Crystal system   tetragonal
Electronic total energy   -3.40 eV per atom
Magnetic moment   3.8 μB per formula unit
Mass density   4.44 g/cm3
Symmetry   P4/mmm (123)



3.
Sc3GaS6 | PBE | relaxed

abc: 6.191 8.157 8.157
angles: 102.71 90.00 90.00
Fractional coordinates of all 20 atoms:
Sc: 0.487 0.912 0.718
Sc: 0.987 0.718 0.912
Sc: 0.388 0.406 0.594
Sc: 0.888 0.594 0.406
Sc: 0.987 0.088 0.282
Sc: 0.487 0.282 0.088
Ga: 0.015 0.204 0.796
Ga: 0.515 0.796 0.204
S: 0.185 0.698 0.629
S: 0.685 0.629 0.698
S: 0.209 0.444 0.896
S: 0.709 0.896 0.444
S: 0.171 0.039 0.961
S: 0.649 0.217 0.783
S: 0.149 0.783 0.217
S: 0.671 0.961 0.039
S: 0.209 0.104 0.556
S: 0.709 0.556 0.104
S: 0.185 0.371 0.302
S: 0.685 0.302 0.371

Crystal system   orthorhombic
Electronic total energy   -6.21 eV per atom
Magnetic moment   0.0 μB per formula unit
Mass density   3.28 g/cm3
Symmetry   Cmc2_1 (36)
Formation energy without anion corrections   -1.533 eV/atom



What did the third record say?
Sc3GaS6 | PBE | relaxed

abc: 6.191 8.157 8.157
angles: 102.71 90.00 90.00
Fractional coordinates of all 20 atoms:
Sc: 0.487 0.912 0.718
Sc: 0.987 0.718 0.912
Sc: 0.388 0.406 0.594
Sc: 0.888 0.594 0.406
Sc: 0.987 0.088 0.282
Sc: 0.487 0.282 0.088
Ga: 0.015 0.204 0.796
Ga: 0.515 0.796 0.204
S: 0.185 0.698 0.629
S: 0.685 0.629 0.698
S: 0.209 0.444 0.896
S: 0.709 0.896 0.444
S: 0.171 0.039 0.961
S: 0.649 0.217 0.783
S: 0.149 0.783 0.217
S: 0.671 0.961 0.039
S: 0.209 0.104 0.556
S: 0.709 0.556 0.104
S: 0.185 0.371 0.302
S: 0.685 0.302 0.371

Crystal system   orthorhombic
Electronic total energy   -6.21 eV per atom
Magnetic moment   0.0 μB per formula unit
Mass density   3.28 g/cm3
Symmetry   Cmc2_1 (36)
Formation energy without anion corrections   -1.533 eV/atom



Look up the magnetic moment of the second one.
3.8 μB per formula unit



Which value of mass density does entry 2 give?
4.44 g/cm3



Which of these has the highest electronic total energy?
SrY2ZnTc